(1)
The following is a PBE calculation of a relaxed LaCdHg2Mo crystal, from Alexandria.

## Properties
Energy of formation, meV per atom: 411
Energy, eV/atom: -3.044

Cell lengths 5.4629, 5.4629, 5.0754 Å; angles 90.00, 90.00, 90.00 degrees
With the nearest neighbours (Å) after each atom.
Space group P4/mmm (No. 123)
One atom of each set of equivalent atoms:
La1 0.0000 0.0000 0.0000 [1 per cell]  2 Mo 2.54
Cd1 0.5000 0.5000 0.0000 [1 per cell]  8 Hg 3.73, 4 La 3.86
Hg1 0.0000 0.5000 0.5000 [2 per cell]  2 Mo 2.73
Mo1 0.0000 0.0000 0.5000 [1 per cell]  2 La 2.54, 4 Hg 2.73

(2)
The following is a PBE calculation of a relaxed La12Cd4HgN3 crystal, from Alexandria.

## Properties
Energy, eV/atom: -4.909
Raw formation energy, kcal/mol of atoms: -11.7

Cell lengths 10.6480, 10.6480, 10.6480 Å; angles 90.00, 90.00, 90.00 degrees
With the nearest neighbours (Å) after each atom.
Space group Im-3m (No. 229)
One atom of each set of equivalent atoms:
La1 0.0000 0.0000 0.2826 [12 per cell]  1 N 2.31
La2 0.0000 0.2500 0.5000 [12 per cell]  2 N 2.66
Cd1 0.2500 0.2500 0.2500 [8 per cell]  12 La 3.76-3.78
Hg1 0.0000 0.0000 0.0000 [2 per cell]  6 La 3.01
N1 0.0000 0.0000 0.5000 [6 per cell]  2 La 2.31

(3)
The following is a PBE calculation of a relaxed La2NdCdHg4 crystal, from Alexandria.

## Properties
Energy of formation, meV per atom: -459
Energy, eV/atom: -2.552

Cell lengths 5.3140, 5.3140, 27.4586 Å; angles 90.00, 90.00, 120.00 degrees
With the nearest neighbours (Å) after each atom.
Space group R-3m (No. 166, hexagonal axes)
One atom of each set of equivalent atoms:
La1 0.0000 0.0000 0.2403 [6 per cell]  8 Hg 3.17-3.54
Nd1 0.0000 0.0000 0.0000 [3 per cell]  8 Hg 3.22-3.37
Cd1 0.0000 0.0000 0.5000 [3 per cell]  8 Hg 3.30-3.59, 6 La 3.67
Hg1 0.0000 0.0000 0.1227 [6 per cell]  4 La 3.17-3.23, 3 Cd 3.30, 1 Nd 3.37
Hg2 0.0000 0.0000 0.3694 [6 per cell]  3 Nd 3.22, 4 La 3.44-3.54, 1 Cd 3.59

(4)
The following is a PBE calculation of a relaxed LaCd2NiHg crystal, from Alexandria.

## Properties
Energy of formation, meV per atom: -225
Energy, eV/atom: -2.794

Cell lengths 5.0923, 5.0923, 5.0622 Å; angles 90.00, 90.00, 90.00 degrees
With the nearest neighbours (Å) after each atom.
Space group P4/mmm (No. 123)
One atom of each set of equivalent atoms:
La1 0.0000 0.0000 0.0000 [1 per cell]  2 Ni 2.53
Cd1 0.0000 0.5000 0.5000 [2 per cell]  2 Ni 2.55
Ni1 0.0000 0.0000 0.5000 [1 per cell]  2 La 2.53, 4 Cd 2.55
Hg1 0.5000 0.5000 0.0000 [1 per cell]  8 Cd 3.59, 4 La 3.60